## Sm7Sb2Pd2 (PBE-GGA)

Data for an optimized crystal structure of Sm7Sb2Pd2.

```
11
Lattice="-5.793 3.615 1.902 -3.917 -4.126 -4.087 0.505 -5.212 4.777" Properties=species:S:1:pos:R:3 pbc="T T T"
Pd -7.964 -2.957 -1.388
Pd -1.241 -2.765 3.980
Sm -6.553 -0.062 3.234
Sm -3.909 0.737 -0.107
Sm -3.585 -1.794 2.357
Sm -5.296 -6.459 2.700
Sm -5.619 -3.929 0.236
Sm 0.000 0.000 0.000
Sm -2.651 -5.661 -0.641
Sb -2.973 -2.369 -0.761
Sb -6.231 -3.353 3.354
```

Output
energy relative to the elements, uncorrected: -11.38 kcal/mol of atoms
N(E_F): 0.8803 states/eV/atom
E_tot: -57.1 eV per formula unit